LiVB2O after structural relaxation, computed with PBE+U.

abc: 4.163 4.163 3.742
angles: 90.00 90.00 90.00
Space group P4/mmm (No. 123)
Asymmetric unit:
1 Li 0.000 0.000 0.000 (multiplicity 1)
2 V 0.500 0.500 0.500 (multiplicity 1)
3 B 0.000 0.500 0.500 (multiplicity 2)
4 O 0.500 0.500 0.000 (multiplicity 1)

Output
- Raw total energy: -24.73 eV/cell
- Magnetic moment: 0.0 μB/f.u.
- DOS(E_F): 2.74 states/eV per cell